! ErTc6, relaxed, DFT PBE-GGA; values from VASP
&SYSTEM
  ibrav = 0, nat = 28, ntyp = 2
/
ATOMIC_SPECIES
Er 167.26 Er.upf
Tc 98.00 Tc.upf
CELL_PARAMETERS angstrom
-1.892 -1.118 -4.665
2.888 -7.914 0.725
-9.276 -2.975 4.475
ATOMIC_POSITIONS angstrom
Er -9.495 -5.493 0.892
Er 1.214 -6.514 -0.357
Er -4.465 -8.300 -0.476
Er -3.816 -3.707 1.011
Tc 0.051 -5.481 -2.983
Tc -8.332 -6.526 3.518
Tc -5.630 -2.882 -1.301
Tc -2.650 -9.124 1.836
Tc -0.586 -3.987 1.141
Tc -6.783 -7.481 1.641
Tc -1.075 -8.810 -0.251
Tc -8.117 -3.735 -1.461
Tc -7.694 -8.020 -0.606
Tc -1.498 -4.526 -1.106
Tc -7.206 -3.197 0.786
Tc -0.163 -8.272 1.996
Tc -1.444 -1.819 -0.404
Tc -6.837 -10.188 0.939
Tc -1.894 -6.383 0.873
Tc -6.387 -5.623 -0.338
Tc -5.144 -8.981 2.813
Tc -3.137 -3.026 -2.278
Tc -6.454 -4.981 2.386
Tc -1.827 -7.026 -1.851
Tc -4.165 -6.545 1.832
Tc -4.116 -5.462 -1.297
Tc -8.820 -3.618 3.019
Tc 0.539 -8.389 -2.484
! space-group type: No. 62
! energy above the lowest structure with this stoichiometry: 0.00 kcal/mol of atoms
! crystal system: orthorhombic